(1)
SiP2PdRh | meta-GGA SCAN | single point on PBEsol structure

Structure (POSCAR):
```
SiP2PdRh
1.0
4.306 0.000 0.000
0.000 4.306 0.000
0.000 0.000 5.109
Si P Pd Rh
1 2 1 1
Direct
0.000 0.000 0.000
0.000 0.500 0.500
0.500 0.000 0.500
0.500 0.500 0.000
0.500 0.500 0.500
```

## Properties
**Raw total energy**: -18.738 eV per atom

***

(2)
BeSbPt2 | meta-GGA SCAN | single point on PBEsol structure

Structure (POSCAR):
```
BeSbPt2
1.0
4.810 0.000 0.000
0.000 4.810 0.000
0.000 0.000 13.062
Be Sb Pt
4 4 8
Direct
0.000 0.000 0.000
0.000 0.500 0.250
0.500 0.000 0.750
0.500 0.500 0.500
0.000 0.000 0.500
0.000 0.500 0.750
0.500 0.000 0.250
0.500 0.500 0.000
0.162 0.250 0.125
0.250 0.662 0.375
0.250 0.838 0.875
0.338 0.250 0.625
0.662 0.750 0.625
0.750 0.162 0.875
0.750 0.338 0.375
0.838 0.750 0.125
```

## Properties
**Energy above the most stable polymorph in this dataset**: 0 meV per atom
**Raw total energy**: -45.739 eV per atom

***

(3)
SrLaTa3 | meta-GGA SCAN | single point on PBEsol structure

Structure (POSCAR):
```
SrLaTa3
1.0
4.985 0.000 0.000
0.000 4.985 0.000
0.000 0.000 4.985
Sr La Ta
1 1 3
Direct
0.000 0.000 0.000
0.500 0.500 0.500
0.000 0.000 0.500
0.000 0.500 0.000
0.500 0.000 0.000
```

## Properties
**Energy of formation**: 2.50 eV/atom
**Raw total energy**: -50.529 eV per atom

***

(4)
Li2CuRh | meta-GGA SCAN | single point on PBEsol structure

Structure (POSCAR):
```
Li2CuRh
1.0
2.492 0.000 0.000
0.000 4.028 0.000
0.000 0.000 5.127
Li Cu Rh
2 1 1
Direct
0.000 0.000 0.000
0.500 0.500 0.265
0.500 0.500 0.736
0.000 0.000 0.515
```

## Properties
**Energy above the most stable polymorph in this dataset**: 66 meV per atom
**Energy of formation**: -0.07 eV/atom
**Raw total energy**: -13.509 eV per atom

***

(5)
AlAg2Pt | meta-GGA SCAN | single point on PBEsol structure

Structure (POSCAR):
```
AlAg2Pt
1.0
3.716 0.000 0.000
0.000 3.716 0.000
0.000 0.000 19.444
Al Ag Pt
4 8 4
Direct
0.000 0.000 0.000
0.000 0.500 0.250
0.500 0.000 0.750
0.500 0.500 0.500
0.249 0.250 0.625
0.250 0.749 0.875
0.250 0.751 0.375
0.251 0.250 0.125
0.749 0.750 0.125
0.750 0.249 0.375
0.750 0.251 0.875
0.751 0.750 0.625
0.000 0.000 0.500
0.000 0.500 0.750
0.500 0.000 0.250
0.500 0.500 0.000
```

## Properties
**Energy above the most stable polymorph in this dataset**: 209 meV per atom
**Energy of formation**: -0.16 eV/atom
**Raw total energy**: -35.334 eV per atom

***

(6)
SrCuOs2 | meta-GGA SCAN | single point on PBEsol structure

Structure (POSCAR):
```
SrCuOs2
1.0
4.263 0.000 0.000
0.000 4.444 0.000
-1.215 0.000 4.115
Sr Cu Os
1 1 2
Direct
0.000 0.000 0.000
0.500 0.000 0.500
0.289 0.500 0.634
0.711 0.500 0.366
```

## Properties
**Energy above the most stable polymorph in this dataset**: 110 meV per atom
**Energy of formation**: 0.61 eV/atom
**Raw total energy**: -44.694 eV per atom